VASP calculation (PBE-GGA) on a geometry-optimized Ti6Zn5Os structure.

Lattice parameters (Å, degrees): 4.4327 6.2782 6.9964 90.00 71.53 90.00
Closest atoms and distances in Å follow each position.
Element x y z (fractional)
Ti 0.8369 0.2462 0.3262  1 Os 2.66, 7 Zn 2.69-2.73
Ti 0.1631 0.2462 0.6738  1 Os 2.66, 7 Zn 2.69-2.73
Zn 0.6704 0.5000 0.6592  8 Ti 2.72-2.76
Ti 0.5000 0.7523 0.0000  2 Os 2.71, 6 Zn 2.71-2.76
Os 0.0000 0.0000 0.0000  8 Ti 2.66-2.71
Zn 0.3296 0.5000 0.3408  8 Ti 2.72-2.76
Ti 0.5000 0.2477 0.0000  2 Os 2.71, 6 Zn 2.71-2.76
Zn 0.0000 0.5000 0.0000  8 Ti 2.69-2.72
Zn 0.3330 0.0000 0.3341  8 Ti 2.70-2.73
Ti 0.1631 0.7538 0.6738  1 Os 2.66, 7 Zn 2.69-2.73
Ti 0.8369 0.7538 0.3262  1 Os 2.66, 7 Zn 2.69-2.73
Zn 0.6670 0.0000 0.6659  8 Ti 2.70-2.73

* electronic total energy: -5.69 eV per atom
* E_form: -279 meV/atom

VASP calculation (PBE-GGA) on a geometry-optimized Ti4Zn3Os structure.

Lattice parameters (Å, degrees): 3.1228 3.1228 12.5704 90.00 90.00 90.00
Closest atoms and distances in Å follow each position.
Element x y z (fractional)
Zn 0.5000 0.5000 0.7520  8 Ti 2.72-2.73
Ti 0.0000 0.0000 0.1206  4 Os 2.68, 4 Zn 2.73
Zn 0.5000 0.5000 0.2480  8 Ti 2.72-2.73
Ti 0.0000 0.0000 0.6263  8 Zn 2.72
Os 0.5000 0.5000 0.0000  8 Ti 2.68
Zn 0.5000 0.5000 0.5000  8 Ti 2.72
Ti 0.0000 0.0000 0.3737  8 Zn 2.72
Ti 0.0000 0.0000 0.8794  4 Os 2.68, 4 Zn 2.73

* electronic total energy: -6.15 eV per atom
* E_form: -319 meV/atom

VASP calculation (PBE-GGA) on a geometry-optimized TiZn4Os structure.

Lattice parameters (Å, degrees): 4.9061 4.9061 4.9061 60.00 60.00 60.00
Closest atoms and distances in Å follow each position.
Element x y z (fractional)
Zn 0.1247 0.6251 0.6251  6 Zn 2.45
Zn 0.6251 0.1247 0.6251  6 Zn 2.45
Zn 0.6251 0.6251 0.6251  6 Zn 2.45
Zn 0.6251 0.6251 0.1247  6 Zn 2.45
Ti 0.2500 0.2500 0.2500  12 Zn 2.88, 4 Os 3.00
Os 0.0000 0.0000 0.0000  12 Zn 2.88, 4 Ti 3.00

* electronic total energy: -4.17 eV per atom
* E_form: -138 meV/atom

VASP calculation (PBE-GGA) on a geometry-optimized TiZnOs2 structure.

Lattice parameters (Å, degrees): 6.9833 6.9833 5.5924 51.37 51.37 90.00
Closest atoms and distances in Å follow each position.
Element x y z (fractional)
Os 0.8750 0.8647 0.7500  2 Ti 2.51, 2 Zn 2.60, 2 Os 2.63
Os 0.1353 0.6250 0.2500  2 Ti 2.51, 2 Zn 2.60, 2 Os 2.63
Os 0.3750 0.3853 0.7500  2 Ti 2.51, 2 Zn 2.60, 2 Os 2.63
Ti 0.5000 0.5000 0.0000  4 Os 2.51, 2 Zn 2.63
Os 0.6147 0.1250 0.2500  2 Ti 2.51, 2 Zn 2.60, 2 Os 2.63
Zn 0.0000 0.0000 0.0000  4 Os 2.60, 2 Ti 2.63
Ti 0.2500 0.7500 0.5000  4 Os 2.51, 2 Zn 2.63
Zn 0.7500 0.2500 0.5000  4 Os 2.60, 2 Ti 2.63

* electronic total energy: -7.32 eV per atom
* E_form: 582 meV/atom

VASP calculation (PBE-GGA) on a geometry-optimized TiZn3Os structure.

Lattice parameters (Å, degrees): 4.6921 4.6921 4.6921 90.00 90.00 90.00
Closest atoms and distances in Å follow each position.
Element x y z (fractional)
Zn 0.0000 0.5000 0.0000  2 Os 2.35
Zn 0.5000 0.0000 0.0000  2 Os 2.35
Os 0.0000 0.0000 0.0000  6 Zn 2.35
Ti 0.5000 0.5000 0.5000  12 Zn 3.32
Zn 0.0000 0.0000 0.5000  2 Os 2.35

* electronic total energy: -3.74 eV per atom
* E_form: 850 meV/atom
* offset from the most stable computed form: 0 meV/atom

VASP calculation (PBE-GGA) on a geometry-optimized Ti5ZnOs4 structure.

Lattice parameters (Å, degrees): 3.0995 3.0995 15.5321 90.00 90.00 90.00
Closest atoms and distances in Å follow each position.
Element x y z (fractional)
Ti 0.5000 0.5000 0.6987  8 Os 2.68-2.70
Os 0.0000 0.0000 0.7997  8 Ti 2.66-2.70
Ti 0.5000 0.5000 0.8967  4 Os 2.66, 4 Zn 2.72
Ti 0.5000 0.5000 0.1033  4 Os 2.66, 4 Zn 2.72
Ti 0.5000 0.5000 0.5000  8 Os 2.68
Os 0.0000 0.0000 0.2003  8 Ti 2.66-2.70
Os 0.0000 0.0000 0.5997  8 Ti 2.68
Os 0.0000 0.0000 0.4003  8 Ti 2.68
Ti 0.5000 0.5000 0.3013  8 Os 2.68-2.70
Zn 0.0000 0.0000 0.0000  8 Ti 2.72

* electronic total energy: -9.18 eV per atom
* E_form: -612 meV/atom

Computed M_tot (μB/cell) in order:
0.00 0.00 0.00 0.00 0.00 0.00